The following is a PBE calculation of crystalline TbEuNi2 at its relaxed geometry, from Alexandria via LeMat-Bulk.

Cell lengths 3.435, 3.435, 6.944 Å; angles 90.00, 90.00, 90.00 degrees
Site moments in Bohr magnetons follow the coordinates.
Fractional coordinates of all 4 atoms:
Eu  0.500  0.500  0.500  -6.82
Ni  0.000  0.000  0.784  0.03
Ni  0.000  0.000  0.216  0.03
Tb  0.500  0.500  0.000  -0.03

## Properties
raw total energy	-27.39	eV for the cell shown
ΔH_f (0 K)	-0.9	eV/f.u.
size of the total moment	7.1	μB/f.u.